Crystalline BeTe2As at its relaxed geometry, computed with PBE.

The structure in extended XYZ format:
```
4
Lattice="-1.748 2.468 5.538 1.748 -2.468 5.538 1.748 2.468 -5.538" Properties=species:S:1:pos:R:3 pbc="T T T"
Be 0.000 0.000 0.000
Te 1.748 0.000 1.899
Te 0.000 0.000 5.358
As 0.000 2.468 3.890
```

magnetic moment	0.00	μB/f.u.
ΔE_f (raw)	261	meV per atom
distance to the lowest polymorph of the same formula	0.868	eV/f.u.